Arrangement a

# IrBr4 PBE optimized geometry
# - Fermi-level density of states: 1.758 states/eV/atom
# - V: 26.1 A^3/atom
data_IrBr4
_chemical_formula_sum 'Ir1 Br4'
_cell_length_a 5.074
_cell_length_b 5.074
_cell_length_c 5.074
_cell_angle_alpha 90.00
_cell_angle_beta 90.00
_cell_angle_gamma 90.00
_space_group_name_H-M_alt 'P m -3 m'
_space_group_IT_number 221
_space_group_name_Hall '-P 4 2 3'
loop_
_atom_site_label
_atom_site_type_symbol
_atom_site_fract_x
_atom_site_fract_y
_atom_site_fract_z
Ir1 Ir 0.000 0.000 0.000
Br1 Br 0.000 0.000 0.500
Br2 Br 0.500 0.500 0.500

=====

Arrangement b

# IrBr4 PBE optimized geometry
# - Fermi-level density of states: 1.223 states/eV/atom
# - V: 25.6 A^3/atom
data_IrBr4
_chemical_formula_sum 'Ir2 Br8'
_cell_length_a 6.352
_cell_length_b 6.352
_cell_length_c 6.352
_cell_angle_alpha 90.00
_cell_angle_beta 90.00
_cell_angle_gamma 90.00
_space_group_name_H-M_alt 'I m -3 m'
_space_group_IT_number 229
_space_group_name_Hall '-I 4 2 3'
loop_
_atom_site_label
_atom_site_type_symbol
_atom_site_fract_x
_atom_site_fract_y
_atom_site_fract_z
Ir1 Ir 0.000 0.000 0.000
Br1 Br 0.250 0.250 0.250

=====

Arrangement c

# IrBr4 PBE optimized geometry
# - Fermi-level density of states: 1.349 states/eV/atom
# - V: 30.1 A^3/atom
data_IrBr4
_chemical_formula_sum 'Ir4 Br16'
_cell_length_a 12.409
_cell_length_b 7.520
_cell_length_c 6.452
_cell_angle_alpha 90.00
_cell_angle_beta 92.06
_cell_angle_gamma 90.00
_space_group_name_H-M_alt 'C 1 2/c 1'
_space_group_IT_number 15
_space_group_name_Hall '-C 2yc'
loop_
_atom_site_label
_atom_site_type_symbol
_atom_site_fract_x
_atom_site_fract_y
_atom_site_fract_z
Ir1 Ir 0.000 0.129 0.250
Br1 Br 0.110 0.114 0.932
Br2 Br 0.119 0.354 0.405

=====

Top of the stability list: arrangement c, leading by 50.1 kJ/mol of atoms.

=====

Arrangement a

# KIrBr2 PBE optimized geometry
# - Fermi-level density of states: 0.345 states/eV/atom
# - V: 31.2 A^3/atom
data_KIrBr2
_chemical_formula_sum 'K1 Ir1 Br2'
_cell_length_a 4.820
_cell_length_b 4.792
_cell_length_c 5.624
_cell_angle_alpha 90.00
_cell_angle_beta 105.89
_cell_angle_gamma 90.00
_space_group_name_H-M_alt 'P 1 m 1'
_space_group_IT_number 6
_space_group_name_Hall 'P -2y'
loop_
_atom_site_label
_atom_site_type_symbol
_atom_site_fract_x
_atom_site_fract_y
_atom_site_fract_z
K1 K 0.000 0.000 0.000
Ir1 Ir 0.675 0.500 0.526
Br1 Br 0.218 0.500 0.656
Br2 Br 0.630 0.000 0.402

=====

Arrangement b

# KIrBr2 PBE optimized geometry
# - Fermi-level density of states: 0.307 states/eV/atom
# - V: 27.8 A^3/atom
data_KIrBr2
_chemical_formula_sum 'K1 Ir1 Br2'
_cell_length_a 3.809
_cell_length_b 3.809
_cell_length_c 7.661
_cell_angle_alpha 90.00
_cell_angle_beta 90.00
_cell_angle_gamma 90.00
_space_group_name_H-M_alt 'P 4 m m'
_space_group_IT_number 99
_space_group_name_Hall 'P 4 -2'
loop_
_atom_site_label
_atom_site_type_symbol
_atom_site_fract_x
_atom_site_fract_y
_atom_site_fract_z
K1 K 0.000 0.000 0.000
Ir1 Ir 0.500 0.500 0.549
Br1 Br 0.000 0.000 0.587
Br2 Br 0.500 0.500 0.210

=====

Arrangement c

# KIrBr2 PBE optimized geometry
# - V: 26.5 A^3/atom
data_KIrBr2
_chemical_formula_sum 'K2 Ir2 Br4'
_cell_length_a 7.436
_cell_length_b 4.317
_cell_length_c 7.062
_cell_angle_alpha 90.00
_cell_angle_beta 110.52
_cell_angle_gamma 90.00
_space_group_name_H-M_alt 'C 1 2/m 1'
_space_group_IT_number 12
_space_group_name_Hall '-C 2y'
loop_
_atom_site_label
_atom_site_type_symbol
_atom_site_fract_x
_atom_site_fract_y
_atom_site_fract_z
K1 K 0.000 0.000 0.000
Ir1 Ir 0.000 0.500 0.500
Br1 Br 0.229 0.000 0.685

=====

Arrangement d

# KIrBr2 PBE optimized geometry
# - Fermi-level density of states: 0.368 states/eV/atom
# - V: 26.7 A^3/atom
data_KIrBr2
_chemical_formula_sum 'K2 Ir2 Br4'
_cell_length_a 14.756
_cell_length_b 3.821
_cell_length_c 3.791
_cell_angle_alpha 90.00
_cell_angle_beta 90.06
_cell_angle_gamma 90.00
_space_group_name_H-M_alt 'C 1 m 1'
_space_group_IT_number 8
_space_group_name_Hall 'C -2y'
loop_
_atom_site_label
_atom_site_type_symbol
_atom_site_fract_x
_atom_site_fract_y
_atom_site_fract_z
K1 K 0.000 0.000 0.000
Ir1 Ir 0.212 0.000 0.497
Br1 Br 0.189 0.500 0.997
Br2 Br 0.387 0.000 0.500

=====

Top of the stability list: arrangement a, leading by 17.9 kJ/mol of atoms.

=====

Arrangement a

# KIrBr2 PBE optimized geometry
# - Fermi-level density of states: 0.900 states/eV/atom
# - V: 28.3 A^3/atom
data_KIrBr2
_chemical_formula_sum 'K2 Ir2 Br4'
_cell_length_a 4.074
_cell_length_b 4.074
_cell_length_c 13.643
_cell_angle_alpha 90.00
_cell_angle_beta 90.00
_cell_angle_gamma 90.00
_space_group_name_H-M_alt 'I -4 m 2'
_space_group_IT_number 119
_space_group_name_Hall 'I -4 -2'
loop_
_atom_site_label
_atom_site_type_symbol
_atom_site_fract_x
_atom_site_fract_y
_atom_site_fract_z
K1 K 0.000 0.000 0.000
Ir1 Ir 0.000 0.500 0.250
Br1 Br 0.000 0.000 0.500
Br2 Br 0.000 0.500 0.750

=====

Arrangement b

# KIrBr2 PBE optimized geometry
# - Fermi-level density of states: 0.551 states/eV/atom
# - V: 22.1 A^3/atom
data_KIrBr2
_chemical_formula_sum 'K1 Ir1 Br2'
_cell_length_a 5.112
_cell_length_b 5.112
_cell_length_c 3.381
_cell_angle_alpha 90.00
_cell_angle_beta 90.00
_cell_angle_gamma 90.00
_space_group_name_H-M_alt 'P 4/m m m'
_space_group_IT_number 123
_space_group_name_Hall '-P 4 2'
loop_
_atom_site_label
_atom_site_type_symbol
_atom_site_fract_x
_atom_site_fract_y
_atom_site_fract_z
K1 K 0.000 0.000 0.000
Ir1 Ir 0.500 0.500 0.000
Br1 Br 0.000 0.500 0.500

=====

Top of the stability list: arrangement b, leading by 10.0 kJ/mol of atoms.

=====

Arrangement a

# KIrBr2 PBE optimized geometry
# - Fermi-level density of states: 1.583 states/eV/atom
# - V: 26.1 A^3/atom
data_KIrBr2
_chemical_formula_sum 'K4 Ir4 Br8'
_cell_length_a 7.471
_cell_length_b 7.471
_cell_length_c 7.471
_cell_angle_alpha 90.00
_cell_angle_beta 90.00
_cell_angle_gamma 90.00
_space_group_name_H-M_alt 'F -4 3 m'
_space_group_IT_number 216
_space_group_name_Hall 'F -4 2 3'
loop_
_atom_site_label
_atom_site_type_symbol
_atom_site_fract_x
_atom_site_fract_y
_atom_site_fract_z
K1 K 0.000 0.000 0.000
Ir1 Ir 0.250 0.250 0.750
Br1 Br 0.000 0.000 0.500
Br2 Br 0.250 0.250 0.250

=====

Arrangement b

# KIrBr2 PBE optimized geometry
# - Fermi-level density of states: 0.637 states/eV/atom
# - V: 32.2 A^3/atom
data_KIrBr2
_chemical_formula_sum 'K3 Ir3 Br6'
_cell_length_a 4.1053
_cell_length_b 4.1053
_cell_length_c 26.4529
_cell_angle_alpha 90.00
_cell_angle_beta 90.00
_cell_angle_gamma 120.00
_space_group_name_H-M_alt 'R -3 m'
_space_group_IT_number 166
_space_group_name_Hall '-R 3 2"'
loop_
_atom_site_label
_atom_site_type_symbol
_atom_site_fract_x
_atom_site_fract_y
_atom_site_fract_z
K1 K 0.0000 0.0000 0.0000
Ir1 Ir 0.0000 0.0000 0.5000
Br1 Br 0.0000 0.0000 0.1202

=====

Top of the stability list: arrangement b, leading by 60.8 kJ/mol of atoms.

=====

Arrangement a

# KIrBr2 PBE optimized geometry
# - Fermi-level density of states: 1.085 states/eV/atom
# - V: 25.5 A^3/atom
data_KIrBr2
_chemical_formula_sum 'K2 Ir2 Br4'
_cell_length_a 3.577
_cell_length_b 3.732
_cell_length_c 15.286
_cell_angle_alpha 90.00
_cell_angle_beta 90.00
_cell_angle_gamma 90.00
_space_group_name_H-M_alt 'I m m 2'
_space_group_IT_number 44
_space_group_name_Hall 'I 2 -2'
loop_
_atom_site_label
_atom_site_type_symbol
_atom_site_fract_x
_atom_site_fract_y
_atom_site_fract_z
K1 K 0.000 0.000 0.000
Ir1 Ir 0.000 0.500 0.280
Br1 Br 0.000 0.000 0.618
Br2 Br 0.000 0.500 0.820

=====

Arrangement b

# KIrBr2 PBE optimized geometry
# - Fermi-level density of states: 0.634 states/eV/atom
# - V: 56.1 A^3/atom
data_KIrBr2
_chemical_formula_sum 'K2 Ir2 Br4'
_cell_length_a 3.883
_cell_length_b 14.488
_cell_length_c 7.981
_cell_angle_alpha 90.00
_cell_angle_beta 90.00
_cell_angle_gamma 90.00
_space_group_name_H-M_alt 'C m m m'
_space_group_IT_number 65
_space_group_name_Hall '-C 2 2'
loop_
_atom_site_label
_atom_site_type_symbol
_atom_site_fract_x
_atom_site_fract_y
_atom_site_fract_z
K1 K 0.000 0.000 0.000
Ir1 Ir 0.000 0.000 0.500
Br1 Br 0.000 0.500 0.305

=====

Arrangement c

# KIrBr2 PBE optimized geometry
# - Fermi-level density of states: 0.674 states/eV/atom
# - V: 24.0 A^3/atom
data_KIrBr2
_chemical_formula_sum 'K4 Ir4 Br8'
_cell_length_a 7.271
_cell_length_b 7.271
_cell_length_c 7.271
_cell_angle_alpha 90.00
_cell_angle_beta 90.00
_cell_angle_gamma 90.00
_space_group_name_H-M_alt 'F m -3 m'
_space_group_IT_number 225
_space_group_name_Hall '-F 4 2 3'
loop_
_atom_site_label
_atom_site_type_symbol
_atom_site_fract_x
_atom_site_fract_y
_atom_site_fract_z
K1 K 0.000 0.000 0.000
Ir1 Ir 0.000 0.000 0.500
Br1 Br 0.250 0.250 0.250

=====

Arrangement d

# KIrBr2 PBE optimized geometry
# - V: 32.7 A^3/atom
data_KIrBr2
_chemical_formula_sum 'K1 Ir1 Br2'
_cell_length_a 5.828
_cell_length_b 3.776
_cell_length_c 6.422
_cell_angle_alpha 90.00
_cell_angle_beta 112.44
_cell_angle_gamma 90.00
_space_group_name_H-M_alt 'P 1 2/m 1'
_space_group_IT_number 10
_space_group_name_Hall '-P 2y'
loop_
_atom_site_label
_atom_site_type_symbol
_atom_site_fract_x
_atom_site_fract_y
_atom_site_fract_z
K1 K 0.000 0.000 0.000
Ir1 Ir 0.000 0.000 0.500
Br1 Br 0.281 0.500 0.688

=====

Top of the stability list: arrangement d, leading by 22.2 kJ/mol of atoms.

=====

Arrangement a

# KIrBr2 PBE optimized geometry
# - Fermi-level density of states: 0.416 states/eV/atom
# - V: 33.8 A^3/atom
data_KIrBr2
_chemical_formula_sum 'K4 Ir4 Br8'
_cell_length_a 6.097
_cell_length_b 6.097
_cell_length_c 14.562
_cell_angle_alpha 90.00
_cell_angle_beta 90.00
_cell_angle_gamma 90.00
_space_group_name_H-M_alt 'I -4 2 d'
_space_group_IT_number 122
_space_group_name_Hall 'I -4 2bw'
loop_
_atom_site_label
_atom_site_type_symbol
_atom_site_fract_x
_atom_site_fract_y
_atom_site_fract_z
K1 K 0.000 0.000 0.000
Ir1 Ir 0.000 0.000 0.500
Br1 Br 0.138 0.250 0.625

=====

Arrangement b

# KIrBr2 PBE optimized geometry
# - V: 30.8 A^3/atom
data_KIrBr2
_chemical_formula_sum 'K2 Ir2 Br4'
_cell_length_a 3.756
_cell_length_b 5.884
_cell_length_c 11.159
_cell_angle_alpha 90.00
_cell_angle_beta 90.00
_cell_angle_gamma 90.00
_space_group_name_H-M_alt 'I m m m'
_space_group_IT_number 71
_space_group_name_Hall '-I 2 2'
loop_
_atom_site_label
_atom_site_type_symbol
_atom_site_fract_x
_atom_site_fract_y
_atom_site_fract_z
K1 K 0.000 0.000 0.000
Ir1 Ir 0.000 0.000 0.500
Br1 Br 0.000 0.500 0.147

=====

Top of the stability list: arrangement b, leading by 24.3 kJ/mol of atoms.

=====

Arrangement a

# KIrBr3 PBE optimized geometry
# - Fermi-level density of states: 0.752 states/eV/atom
# - V: 27.9 A^3/atom
data_KIrBr3
_chemical_formula_sum 'K1 Ir1 Br3'
_cell_length_a 5.187
_cell_length_b 5.187
_cell_length_c 5.187
_cell_angle_alpha 90.00
_cell_angle_beta 90.00
_cell_angle_gamma 90.00
_space_group_name_H-M_alt 'P m -3 m'
_space_group_IT_number 221
_space_group_name_Hall '-P 4 2 3'
loop_
_atom_site_label
_atom_site_type_symbol
_atom_site_fract_x
_atom_site_fract_y
_atom_site_fract_z
K1 K 0.000 0.000 0.000
Ir1 Ir 0.500 0.500 0.500
Br1 Br 0.000 0.500 0.500

=====

Arrangement b

# KIrBr3 PBE optimized geometry
# - Fermi-level density of states: 2.017 states/eV/atom
# - V: 43.5 A^3/atom
data_KIrBr3
_chemical_formula_sum 'K1 Ir1 Br3'
_cell_length_a 6.014
_cell_length_b 6.014
_cell_length_c 6.014
_cell_angle_alpha 90.00
_cell_angle_beta 90.00
_cell_angle_gamma 90.00
_space_group_name_H-M_alt 'P m -3 m'
_space_group_IT_number 221
_space_group_name_Hall '-P 4 2 3'
loop_
_atom_site_label
_atom_site_type_symbol
_atom_site_fract_x
_atom_site_fract_y
_atom_site_fract_z
K1 K 0.000 0.000 0.000
Ir1 Ir 0.500 0.500 0.500
Br1 Br 0.000 0.000 0.500

=====

Top of the stability list: arrangement a, leading by 140.5 kJ/mol of atoms.

=====

Arrangement a

# KIr2Br PBE optimized geometry
# - Fermi-level density of states: 0.630 states/eV/atom
# - V: 19.8 A^3/atom
data_KIr2Br
_chemical_formula_sum 'K1 Ir2 Br1'
_cell_length_a 2.994
_cell_length_b 2.994
_cell_length_c 8.838
_cell_angle_alpha 90.00
_cell_angle_beta 90.00
_cell_angle_gamma 90.00
_space_group_name_H-M_alt 'P 4/m m m'
_space_group_IT_number 123
_space_group_name_Hall '-P 4 2'
loop_
_atom_site_label
_atom_site_type_symbol
_atom_site_fract_x
_atom_site_fract_y
_atom_site_fract_z
K1 K 0.000 0.000 0.000
Ir1 Ir 0.500 0.500 0.305
Br1 Br 0.000 0.000 0.500

=====

Arrangement b

# KIr2Br PBE optimized geometry
# - Fermi-level density of states: 1.369 states/eV/atom
# - V: 19.0 A^3/atom
data_KIr2Br
_chemical_formula_sum 'K2 Ir4 Br2'
_cell_length_a 2.871
_cell_length_b 5.183
_cell_length_c 10.220
_cell_angle_alpha 90.00
_cell_angle_beta 90.00
_cell_angle_gamma 90.00
_space_group_name_H-M_alt 'C m m m'
_space_group_IT_number 65
_space_group_name_Hall '-C 2 2'
loop_
_atom_site_label
_atom_site_type_symbol
_atom_site_fract_x
_atom_site_fract_y
_atom_site_fract_z
K1 K 0.000 0.000 0.000
Ir1 Ir 0.000 0.500 0.277
Br1 Br 0.000 0.000 0.500

=====

Arrangement c

# KIr2Br PBE optimized geometry
# - Fermi-level density of states: 0.687 states/eV/atom
# - V: 28.6 A^3/atom
data_KIr2Br
_chemical_formula_sum 'K2 Ir4 Br2'
_cell_length_a 3.816
_cell_length_b 6.197
_cell_length_c 9.671
_cell_angle_alpha 90.00
_cell_angle_beta 90.00
_cell_angle_gamma 90.00
_space_group_name_H-M_alt 'I m m 2'
_space_group_IT_number 44
_space_group_name_Hall 'I 2 -2'
loop_
_atom_site_label
_atom_site_type_symbol
_atom_site_fract_x
_atom_site_fract_y
_atom_site_fract_z
K1 K 0.000 0.000 0.000
Ir1 Ir 0.000 0.000 0.507
Ir2 Ir 0.000 0.500 0.146
Br1 Br 0.000 0.500 0.813

=====

Arrangement d

# KIr2Br PBE optimized geometry
# - Fermi-level density of states: 0.644 states/eV/atom
# - V: 19.2 A^3/atom
data_KIr2Br
_chemical_formula_sum 'K4 Ir8 Br4'
_cell_length_a 6.747
_cell_length_b 6.747
_cell_length_c 6.747
_cell_angle_alpha 90.00
_cell_angle_beta 90.00
_cell_angle_gamma 90.00
_space_group_name_H-M_alt 'F m -3 m'
_space_group_IT_number 225
_space_group_name_Hall '-F 4 2 3'
loop_
_atom_site_label
_atom_site_type_symbol
_atom_site_fract_x
_atom_site_fract_y
_atom_site_fract_z
K1 K 0.000 0.000 0.000
Ir1 Ir 0.250 0.250 0.250
Br1 Br 0.000 0.000 0.500

=====

Top of the stability list: arrangement c, leading by 54.6 kJ/mol of atoms.